Here is a geometry-optimized LaPm4Er3 structure from Alexandria via LeMat-Bulk. Energies are from PBE.

Values from the calculation:
Magnetization: 0.000 μB per atom
Formation enthalpy at 0 K: 29 meV per atom
Calculated total energy: -4.673 eV/atom
ρ: 7.52 g/cm³
Energy relative to the lowest polymorph listed for this composition: 0.0 meV/atom

CIF file:
```
data_LaPm4Er3
_cell_length_a 11.5791
_cell_length_b 7.3461
_cell_length_c 6.3348
_cell_angle_alpha 90.00
_cell_angle_beta 90.00
_cell_angle_gamma 90.00
_symmetry_space_group_name_H-M 'P m n 21'
_symmetry_Int_Tables_number 31
loop_
_symmetry_equiv_pos_as_xyz
'x,y,z'
'-x+1/2,-y,z+1/2'
'-x,y,z'
'x+1/2,-y,z+1/2'
loop_
_atom_site_label
_atom_site_type_symbol
_atom_site_fract_x
_atom_site_fract_y
_atom_site_fract_z
La1 La 0.0000 0.1259 0.0000
Pm1 Pm 0.0000 0.3736 0.5080
Pm2 Pm 0.0000 0.6295 0.9988
Pm3 Pm 0.2457 0.6259 0.3378
Er1 Er 0.0000 0.8766 0.5032
Er2 Er 0.2493 0.1220 0.3360
```